<w>
Crystalline SmY3Mg at its relaxed geometry. Source: the Alexandria database, functional PBE.

The space group is C2/m (No. 12) and the conventional cell measures 12.984, 3.718 and 12.846 Å, with angles of 90.00, 92.99 and 90.00 degrees. The asymmetric unit holds Sm at (0.234, 0.000, 0.257), Y at (0.036, 0.000, 0.687), Y at (0.135, 0.500, 0.476), Y at (0.147, 0.000, 0.944) and Mg at (0.057, 0.500, 0.126).


<x>
Crystalline SmY3Mg at its relaxed geometry. Source: the Alexandria database, functional PBE.

The space group is P2_1/m (No. 11) and the conventional cell measures 3.530, 6.956 and 12.983 Å, with angles of 90.00, 97.78 and 90.00 degrees. The asymmetric unit holds Sm at (0.002, 0.250, 0.002), Y at (0.207, 0.750, 0.412), Y at (0.399, 0.008, 0.797) and Mg at (0.184, 0.250, 0.371).


In terms of stability, <w> leads; the second structure lies 85 meV per atom higher.


<w>
Crystalline SmYMg2 at its relaxed geometry. Source: the Alexandria database, functional PBE.

The space group is R3m (No. 160, hexagonal axes) and the conventional cell measures 3.4746, 3.4746 and 33.3690 Å, with angles of 90.00, 90.00 and 120.00 degrees. The asymmetric unit holds Sm at (0.0000, 0.0000, 0.0000), Y at (0.0000, 0.0000, 0.1692), Mg at (0.0000, 0.0000, 0.5837) and Mg at (0.0000, 0.0000, 0.7525).


<x>
Crystalline SmYMg2 at its relaxed geometry. Source: the Alexandria database, functional PBE.

The space group is Fm-3m (No. 225) and the conventional cell measures 7.646, 7.646 and 7.646 Å, with angles of 90.00, 90.00 and 90.00 degrees. The asymmetric unit holds Sm at (0.000, 0.000, 0.000), Y at (0.000, 0.000, 0.500) and Mg at (0.250, 0.250, 0.250).


In terms of stability, <x> leads; the second structure lies 160 meV per atom higher.


<w>
Crystalline SmY5Mg at its relaxed geometry. Source: the Alexandria database, functional PBE.

The space group is C2/c (No. 15) and the conventional cell measures 11.832, 6.579 and 11.919 Å, with angles of 90.00, 104.02 and 90.00 degrees. The asymmetric unit holds Sm at (0.250, 0.250, 0.000), Y at (0.000, 0.061, 0.750), Y at (0.044, 0.248, 0.481), Y at (0.231, 0.250, 0.289) and Mg at (0.000, 0.500, 0.250).


<x>
Crystalline SmY5Mg at its relaxed geometry. Source: the Alexandria database, functional PBE.

The space group is C2/c (No. 15) and the conventional cell measures 11.086, 6.588 and 12.556 Å, with angles of 90.00, 98.61 and 90.00 degrees. The asymmetric unit holds Sm at (0.000, 0.210, 0.250), Y at (0.000, 0.303, 0.750), Y at (0.159, 0.058, 0.562), Y at (0.241, 0.436, 0.169) and Mg at (0.000, 0.500, 0.000).


In terms of stability, <w> leads; the second structure lies 27 meV per atom higher.


<w>
Crystalline Sm2Y8Mg at its relaxed geometry. Source: the Alexandria database, functional PBE.

The space group is C2/m (No. 12) and the conventional cell measures 19.455, 5.593 and 6.515 Å, with angles of 90.00, 94.27 and 90.00 degrees. The asymmetric unit holds Sm at (0.242, 0.000, 0.336), Y at (0.045, 0.000, 0.260), Y at (0.079, 0.500, 0.598), Y at (0.152, 0.000, 0.812), Y at (0.161, 0.500, 0.125) and Mg at (0.000, 0.500, 0.000).


<x>
Crystalline Sm2Y8Mg at its relaxed geometry. Source: the Alexandria database, functional PBE.

The space group is C2/m (No. 12) and the conventional cell measures 18.658, 6.913 and 5.729 Å, with angles of 90.00, 92.24 and 90.00 degrees. The asymmetric unit holds Sm at (0.219, 0.000, 0.256), Y at (0.050, 0.000, 0.233), Y at (0.126, 0.236, 0.740), Y at (0.178, 0.500, 0.234) and Mg at (0.000, 0.500, 0.000).


In terms of stability, <w> leads; the second structure lies 112 meV per atom higher.


<w>
Crystalline Sm8YMg2 at its relaxed geometry. Source: the Alexandria database, functional PBE.

The space group is C2/m (No. 12) and the conventional cell measures 8.916, 15.801 and 5.786 Å, with angles of 90.00, 117.86 and 90.00 degrees. The asymmetric unit holds Sm at (0.000, 0.211, 0.000), Sm at (0.088, 0.500, 0.795), Sm at (0.211, 0.114, 0.641), Y at (0.000, 0.000, 0.000) and Mg at (0.000, 0.307, 0.500).


<x>
Crystalline Sm8YMg2 at its relaxed geometry. Source: the Alexandria database, functional PBE.

The space group is C2/m (No. 12) and the conventional cell measures 16.957, 5.385 and 8.505 Å, with angles of 90.00, 114.84 and 90.00 degrees. The asymmetric unit holds Sm at (0.055, 0.000, 0.235), Sm at (0.100, 0.500, 0.969), Sm at (0.146, 0.000, 0.702), Sm at (0.187, 0.500, 0.451), Y at (0.000, 0.500, 0.500) and Mg at (0.226, 0.000, 0.128).


In terms of stability, <x> leads; the second structure lies 110 meV per atom higher.


<w>
Crystalline Sm2Y6Mg at its relaxed geometry. Source: the Alexandria database, functional PBE.

The space group is P4_2/mnm (No. 136) and the conventional cell measures 10.613, 10.613 and 5.074 Å, with angles of 90.00, 90.00 and 90.00 degrees. The asymmetric unit holds Sm at (0.167, 0.167, 0.000), Y at (0.001, 0.333, 0.500), Y at (0.165, 0.835, 0.000) and Mg at (0.000, 0.000, 0.500).


<x>
Crystalline Sm2Y6Mg at its relaxed geometry. Source: the Alexandria database, functional PBE.

The space group is C2/m (No. 12) and the conventional cell measures 9.933, 7.153 and 8.562 Å, with angles of 90.00, 103.69 and 90.00 degrees. The asymmetric unit holds Sm at (0.237, 0.000, 0.476), Y at (0.041, 0.258, 0.708), Y at (0.178, 0.500, 0.073) and Mg at (0.000, 0.000, 0.000).


In terms of stability, <w> leads; the second structure lies 120 meV per atom higher.


<w>
Crystalline Sm6Y3Mg at its relaxed geometry. Source: the Alexandria database, functional PBE.

The space group is P2_1/m (No. 11) and the conventional cell measures 11.252, 5.080 and 11.358 Å, with angles of 90.00, 90.66 and 90.00 degrees. The asymmetric unit holds Sm at (0.048, 0.250, 0.397), Sm at (0.148, 0.750, 0.193), Sm at (0.150, 0.250, 0.696), Sm at (0.245, 0.250, 0.998), Sm at (0.346, 0.750, 0.799), Sm at (0.448, 0.250, 0.602), Y at (0.248, 0.750, 0.496), Y at (0.350, 0.250, 0.296), Y at (0.450, 0.750, 0.100) and Mg at (0.047, 0.750, 0.903).


<x>
Crystalline Sm6Y3Mg at its relaxed geometry. Source: the Alexandria database, functional PBE.

The space group is Pnnm (No. 58) and the conventional cell measures 10.555, 11.874 and 5.287 Å, with angles of 90.00, 90.00 and 90.00 degrees. The asymmetric unit holds Sm at (0.073, 0.248, 0.000), Sm at (0.173, 0.078, 0.500), Sm at (0.217, 0.384, 0.500), Y at (0.000, 0.500, 0.000), Y at (0.118, 0.711, 0.500) and Mg at (0.000, 0.000, 0.000).


In terms of stability, <w> leads; the second structure lies 110 meV per atom higher.


<w>
Crystalline Sm4YMg at its relaxed geometry. Source: the Alexandria database, functional PBE.

The space group is P4/mmm (No. 123) and the conventional cell measures 3.637, 3.637 and 14.456 Å, with angles of 90.00, 90.00 and 90.00 degrees. The asymmetric unit holds Sm at (0.000, 0.000, 0.151), Sm at (0.500, 0.500, 0.324), Y at (0.000, 0.000, 0.500) and Mg at (0.500, 0.500, 0.000).


<x>
Crystalline Sm4YMg at its relaxed geometry. Source: the Alexandria database, functional PBE.

The space group is C2/c (No. 15) and the conventional cell measures 10.720, 6.190 and 12.038 Å, with angles of 90.00, 107.54 and 90.00 degrees. The asymmetric unit holds Sm at (0.081, 0.244, 0.499), Sm at (0.167, 0.418, 0.250), Y at (0.250, 0.250, 0.000) and Mg at (0.000, 0.085, 0.750).


In terms of stability, <w> leads; the second structure lies 32 meV per atom higher.


<w>
Crystalline Sm7Y2Mg2 at its relaxed geometry. Source: the Alexandria database, functional PBE.

The space group is C2/m (No. 12) and the conventional cell measures 12.011, 11.037 and 5.801 Å, with angles of 90.00, 111.88 and 90.00 degrees. The asymmetric unit holds Sm at (0.000, 0.000, 0.000), Sm at (0.194, 0.206, 0.186), Sm at (0.232, 0.000, 0.669), Y at (0.000, 0.220, 0.500) and Mg at (0.057, 0.500, 0.782).


<x>
Crystalline Sm7Y2Mg2 at its relaxed geometry. Source: the Alexandria database, functional PBE.

The space group is C2/m (No. 12) and the conventional cell measures 9.933, 11.832 and 6.723 Å, with angles of 90.00, 114.35 and 90.00 degrees. The asymmetric unit holds Sm at (0.000, 0.000, 0.000), Sm at (0.162, 0.500, 0.473), Sm at (0.177, 0.245, 0.199), Y at (0.000, 0.139, 0.500) and Mg at (0.163, 0.500, 0.977).


In terms of stability, <w> leads; the second structure lies 44 meV per atom higher.


<w>
Crystalline Sm6Y12Mg at its relaxed geometry. Source: the Alexandria database, functional PBE.

The space group is R-3 (No. 148, hexagonal axes) and the conventional cell measures 11.9661, 11.9661 and 15.1549 Å, with angles of 90.00, 90.00 and 120.00 degrees. The asymmetric unit holds Sm at (0.0170, 0.4250, 0.1867), Y at (0.0039, 0.1760, 0.3126), Y at (0.0474, 0.8518, 0.9150) and Mg at (0.0000, 0.0000, 0.5000).


<x>
Crystalline Sm6Y12Mg at its relaxed geometry. Source: the Alexandria database, functional PBE.

The space group is R-3m (No. 166, hexagonal axes) and the conventional cell measures 13.0776, 13.0776 and 13.0084 Å, with angles of 90.00, 90.00 and 120.00 degrees. The asymmetric unit holds Sm at (0.0908, 0.1817, 0.2739), Y at (0.0000, 0.2618, 0.5000), Y at (0.0517, 0.5259, 0.6153) and Mg at (0.0000, 0.0000, 0.5000).


In terms of stability, <w> leads; the second structure lies 20 meV per atom higher.